Record 1
{"formula": "KLi2US4", "functional": "GGA-PBE", "state": "relaxed", "lattice_angstrom": [[-4.958, 2.146, -0.463], [-0.656, -0.356, 5.370], [5.396, 5.243, -1.730]], "species": ["S", "S", "S", "S", "Li", "Li", "K", "U"], "frac_coords": [[0.248, 0.248, 0.496], [0.563, 0.063, 0.126], [0.752, 0.752, 0.504], [0.937, 0.437, 0.874], [0.000, 0.000, 0.000], [0.250, 0.750, 0.500], [0.500, 0.500, 0.000], [0.750, 0.250, 0.500]], "spacegroup": "No. 119", "vol_a3_per_atom": 24.6, "e_form_raw_mev_per_atom": -1215}



Record 2
{"formula": "K2TlPbF6", "functional": "GGA-PBE", "state": "relaxed", "lattice_angstrom": [[-0.774, -1.321, -6.281], [-2.812, -5.872, 1.581], [-8.305, 4.038, 0.222]], "species": ["F", "F", "F", "F", "F", "F", "F", "F", "F", "F", "F", "F", "Tl", "Tl", "K", "K", "K", "K", "Pb", "Pb"], "frac_coords": [[0.615, 0.052, 0.248], [0.703, 0.299, 0.560], [0.115, 0.448, 0.748], [0.297, 0.701, 0.440], [0.885, 0.552, 0.252], [0.797, 0.799, 0.940], [0.302, 0.707, 0.063], [0.198, 0.207, 0.437], [0.698, 0.293, 0.937], [0.802, 0.793, 0.563], [0.385, 0.948, 0.752], [0.203, 0.201, 0.060], [0.000, 0.500, 0.000], [0.500, 0.000, 0.500], [0.517, 0.553, 0.749], [0.483, 0.447, 0.251], [0.017, 0.947, 0.249], [0.983, 0.053, 0.751], [0.000, 0.500, 0.500], [0.500, 0.000, 0.000]], "spacegroup": "No. 14", "vol_a3_per_atom": 20.0, "e_form_raw_mev_per_atom": -2342}



Record 3
{"formula": "YScSb", "functional": "GGA-PBE", "state": "relaxed", "lattice_angstrom": [[5.863, 0.014, -0.016], [4.586, 3.653, -0.006], [1.277, 0.439, 3.613]], "species": ["Sc", "Y", "Sb"], "frac_coords": [[0.649, 0.649, 0.351], [0.339, 0.339, 0.661], [0.012, 0.012, 0.988]], "spacegroup": "No. 107", "vol_a3_per_atom": 25.7, "e_form_raw_mev_per_atom": -614}



Record 4
{"formula": "Ce2DyY3Te6", "functional": "GGA-PBE", "state": "relaxed", "lattice_angstrom": [[-3.269, 1.271, -2.611], [-5.458, -5.717, 4.051], [0.714, 7.475, 6.406]], "species": ["Te", "Te", "Te", "Te", "Te", "Te", "Y", "Y", "Y", "Ce", "Ce", "Dy"], "frac_coords": [[0.003, 0.752, 0.005], [0.336, 0.410, 0.673], [0.664, 0.590, 0.327], [0.665, 0.076, 0.331], [0.335, 0.924, 0.669], [0.997, 0.248, 0.995], [0.832, 0.166, 0.663], [0.500, 0.500, 0.000], [0.168, 0.834, 0.337], [0.168, 0.336, 0.336], [0.832, 0.664, 0.664], [0.500, 0.000, 0.000]], "spacegroup": "No. 12", "vol_a3_per_atom": 30.2, "e_form_raw_mev_per_atom": -1332}



Record 5
{"formula": "BaMoHN2", "functional": "GGA-PBE", "state": "relaxed", "lattice_angstrom": [[-1.425, -3.797, -0.430], [1.522, -0.143, -3.781], [3.505, -1.481, 1.467]], "species": ["N", "N", "H", "Ba", "Mo"], "frac_coords": [[0.000, 0.500, 0.000], [0.500, 0.000, 0.000], [0.000, 0.000, 0.500], [0.500, 0.500, 0.500], [0.000, 0.000, 0.000]], "spacegroup": "No. 123", "total_energy_ry_per_atom": -0.5126, "vol_a3_per_atom": 13.6}



Record 6
{"formula": "Be3Si4", "functional": "GGA-PBE", "state": "relaxed", "lattice_angstrom": [[-1.607, 1.607, 8.143], [1.607, -1.607, 8.143], [1.607, 1.607, -8.143]], "species": ["Be", "Be", "Be", "Si", "Si", "Si", "Si"], "frac_coords": [[0.285, 0.285, 0.000], [0.000, 0.000, 0.000], [0.715, 0.715, 0.000], [0.427, 0.427, 0.000], [0.573, 0.573, 0.000], [0.147, 0.147, 0.000], [0.853, 0.853, 0.000]], "spacegroup": "No. 139", "vol_a3_per_atom": 12.0, "e_form_raw_mev_per_atom": 430}



Record 7
{"formula": "PmDy4Cd2", "functional": "GGA-PBE", "state": "relaxed", "lattice_angstrom": [[5.086, 0.000, 0.000], [2.543, 4.405, 0.000], [2.543, 1.468, 10.350]], "species": ["Dy", "Dy", "Dy", "Dy", "Cd", "Cd", "Pm"], "frac_coords": [[0.702, 0.702, 0.893], [0.106, 0.106, 0.682], [0.298, 0.298, 0.107], [0.894, 0.894, 0.318], [0.399, 0.399, 0.802], [0.601, 0.601, 0.198], [0.500, 0.500, 0.500]], "spacegroup": "No. 166", "total_energy_ry_per_atom": -0.2468, "vol_a3_per_atom": 33.1}



Record 8
{"formula": "LiYNiHg", "functional": "GGA-PBE", "state": "relaxed", "lattice_angstrom": [[-3.896, 2.597, -0.077], [-2.667, 0.108, -3.848], [-4.198, -2.076, 0.001]], "species": ["Ni", "Hg", "Y", "Li"], "frac_coords": [[0.000, 0.000, 0.000], [0.250, 0.250, 0.250], [0.750, 0.750, 0.750], [0.500, 0.500, 0.500]], "spacegroup": "No. 216", "total_energy_ry_per_atom": -0.2836, "vol_a3_per_atom": 18.2}